No. 1
The following is a PBE calculation of Sm2ZnGa3Rh4 after structural relaxation, from Alexandria via LeMat-Bulk.

The raw total energy is -56.74 eV for the cell shown. The density is 8.9 g cm⁻³. Its formation energy is -7.538 eV per formula unit.

The structure belongs to space group P-4m2 (No. 115); the cell edges are 4.247, 4.247 and 10.216 Å and the angles 90.00°, 90.00° and 90.00°. Symmetry generates all atoms from Sm at (0.000, 0.500, 0.242), Zn at (0.000, 0.000, 0.500), Ga at (0.000, 0.500, 0.874), Ga at (0.500, 0.500, 0.500), Rh at (0.000, 0.000, 0.000), Rh at (0.000, 0.500, 0.633) and Rh at (0.500, 0.500, 0.000).

---

No. 2
The following is a PBE calculation of Sm2Zn2GaRh5 after structural relaxation, from Alexandria via LeMat-Bulk.

The raw total energy is -115.35 eV for the cell shown. The density is 9.9 g cm⁻³. Its formation energy is -5.907 eV per formula unit.

The structure belongs to space group P4/mbm (No. 127); the cell edges are 9.761, 9.761 and 3.576 Å and the angles 90.00°, 90.00° and 90.00°. Symmetry generates all atoms from Sm at (0.174, 0.326, 0.000), Zn at (0.126, 0.626, 0.000), Ga at (0.000, 0.000, 0.000), Rh at (0.000, 0.500, 0.500) and Rh at (0.062, 0.801, 0.500).

---

No. 3
The following is a PBE calculation of SmZn2GaRh2 after structural relaxation, from Alexandria via LeMat-Bulk.

The raw total energy is -26.42 eV for the cell shown. The density is 7.8 g cm⁻³. Its formation energy is -1.425 eV per formula unit.

The structure belongs to space group P4/mmm (No. 123); the cell edges are 4.571, 4.571 and 5.656 Å and the angles 90.00°, 90.00° and 90.00°. Symmetry generates all atoms from Sm at (0.000, 0.000, 0.000), Zn at (0.500, 0.500, 0.238), Ga at (0.000, 0.000, 0.500) and Rh at (0.000, 0.500, 0.500).

---

No. 4
The following is a PBE calculation of Sm2ZrGa3Rh4 after structural relaxation, from Alexandria via LeMat-Bulk.

The raw total energy is -64.39 eV for the cell shown. The density is 8.7 g cm⁻³. Its formation energy is -7.921 eV per formula unit.

The structure belongs to space group P-4m2 (No. 115); the cell edges are 4.213, 4.213 and 10.880 Å and the angles 90.00°, 90.00° and 90.00°. Symmetry generates all atoms from Sm at (0.000, 0.500, 0.226), Zr at (0.000, 0.000, 0.500), Ga at (0.000, 0.500, 0.878), Ga at (0.500, 0.500, 0.500), Rh at (0.000, 0.000, 0.000), Rh at (0.000, 0.500, 0.648) and Rh at (0.500, 0.500, 0.000).